Entry from the Alexandria database: an optimized crystal structure of MnAlSe3 (GGA-PBEsol).

Geometry as CIF:
```
data_MnAlSe3
_chemical_formula_sum 'Mn2 Al2 Se6'
_cell_length_a 6.407
_cell_length_b 3.717
_cell_length_c 9.757
_cell_angle_alpha 90.00
_cell_angle_beta 104.59
_cell_angle_gamma 90.00
_symmetry_space_group_name_H-M 'P 1 21/m 1'
_symmetry_Int_Tables_number 11
loop_
_symmetry_equiv_pos_as_xyz
'x,y,z'
'-x,-y,-z'
'-x,y+1/2,-z'
'x,-y+1/2,z'
loop_
_atom_site_label
_atom_site_type_symbol
_atom_site_fract_x
_atom_site_fract_y
_atom_site_fract_z
_atom_site_occupancy
Mn1 Mn 0.217 0.250 0.494 1
Al1 Al 0.451 0.250 0.117 1
Se1 Se 0.022 0.750 0.344 1
Se2 Se 0.242 0.750 0.992 1
Se3 Se 0.470 0.750 0.633 1
```

Computed properties:
The crystal system is monoclinic. The value obtained for the uncorrected formation energy is -0.5419 eV/atom.



Entry from the Alexandria database: an optimized crystal structure of Mn2AlSi (GGA-PBEsol).

Geometry as CIF:
```
data_Mn2AlSi
_chemical_formula_sum 'Mn4 Al2 Si2'
_cell_length_a 3.525
_cell_length_b 3.525
_cell_length_c 7.764
_cell_angle_alpha 90.00
_cell_angle_beta 90.00
_cell_angle_gamma 90.00
_symmetry_space_group_name_H-M 'I -4 m 2'
_symmetry_Int_Tables_number 119
_symmetry_space_group_name_Hall 'I -4 -2'
loop_
_atom_site_label
_atom_site_type_symbol
_atom_site_fract_x
_atom_site_fract_y
_atom_site_fract_z
_atom_site_occupancy
Mn1 Mn 0.000 0.000 0.000 1
Mn2 Mn 0.000 0.500 0.250 1
Al1 Al 0.000 0.500 0.750 1
Si1 Si 0.000 0.000 0.500 1
```

Computed properties:
The crystal system is tetragonal. The value obtained for the uncorrected formation energy is -0.2401 eV/atom.



Entry from the Alexandria database: an optimized crystal structure of MnAl2Si (GGA-PBEsol).

Geometry as CIF:
```
data_MnAl2Si
_chemical_formula_sum 'Mn1 Al2 Si1'
_cell_length_a 3.186
_cell_length_b 3.186
_cell_length_c 5.104
_cell_angle_alpha 90.00
_cell_angle_beta 90.00
_cell_angle_gamma 90.00
_symmetry_space_group_name_H-M 'P 4/m m m'
_symmetry_Int_Tables_number 123
_symmetry_space_group_name_Hall '-P 4 2'
loop_
_atom_site_label
_atom_site_type_symbol
_atom_site_fract_x
_atom_site_fract_y
_atom_site_fract_z
_atom_site_occupancy
Mn1 Mn 0.000 0.000 0.000 1
Al1 Al 0.500 0.500 0.240 1
Si1 Si 0.000 0.000 0.500 1
```

Computed properties:
The crystal system is tetragonal. The value obtained for the uncorrected formation energy is -0.1399 eV/atom.



Entry from the Alexandria database: an optimized crystal structure of Mn2AlSi (GGA-PBEsol).

Geometry as CIF:
```
data_Mn2AlSi
_chemical_formula_sum 'Mn4 Al2 Si2'
_cell_length_a 3.733
_cell_length_b 3.733
_cell_length_c 6.797
_cell_angle_alpha 90.00
_cell_angle_beta 90.00
_cell_angle_gamma 90.00
_symmetry_space_group_name_H-M 'I 4/m m m'
_symmetry_Int_Tables_number 139
_symmetry_space_group_name_Hall '-I 4 2'
loop_
_atom_site_label
_atom_site_type_symbol
_atom_site_fract_x
_atom_site_fract_y
_atom_site_fract_z
_atom_site_occupancy
Mn1 Mn 0.000 0.500 0.250 1
Al1 Al 0.000 0.000 0.000 1
Si1 Si 0.000 0.000 0.500 1
```

Computed properties:
The crystal system is tetragonal. The value obtained for the uncorrected formation energy is -0.2812 eV/atom.



Entry from the Alexandria database: an optimized crystal structure of MnAlSi2 (GGA-PBEsol).

Geometry as CIF:
```
data_MnAlSi2
_chemical_formula_sum 'Mn2 Al2 Si4'
_cell_length_a 3.944
_cell_length_b 3.007
_cell_length_c 8.854
_cell_angle_alpha 90.00
_cell_angle_beta 90.00
_cell_angle_gamma 90.00
_symmetry_space_group_name_H-M 'A m m 2'
_symmetry_Int_Tables_number 38
loop_
_symmetry_equiv_pos_as_xyz
'x,y,z'
'-x,-y,z'
'-x,y,z'
'x,-y,z'
'x,y+1/2,z+1/2'
'-x,-y+1/2,z+1/2'
'-x,y+1/2,z+1/2'
'x,-y+1/2,z+1/2'
loop_
_atom_site_label
_atom_site_type_symbol
_atom_site_fract_x
_atom_site_fract_y
_atom_site_fract_z
_atom_site_occupancy
Mn1 Mn 0.000 0.000 0.000 1
Al1 Al 0.500 0.000 0.400 1
Si1 Si 0.000 0.000 0.719 1
Si2 Si 0.500 0.000 0.129 1
```

Computed properties:
The crystal system is orthorhombic. The value obtained for the uncorrected formation energy is -0.1122 eV/atom.



Entry from the Alexandria database: an optimized crystal structure of MnAl2Si (GGA-PBEsol).

Geometry as CIF:
```
data_MnAl2Si
_chemical_formula_sum 'Mn3 Al6 Si3'
_cell_length_a 2.7698
_cell_length_b 2.7698
_cell_length_c 24.7151
_cell_angle_alpha 90.00
_cell_angle_beta 90.00
_cell_angle_gamma 120.00
_symmetry_space_group_name_H-M 'R -3 m'
_symmetry_Int_Tables_number 166
_symmetry_space_group_name_Hall '-R 3 2"'
loop_
_atom_site_label
_atom_site_type_symbol
_atom_site_fract_x
_atom_site_fract_y
_atom_site_fract_z
_atom_site_occupancy
Mn1 Mn 0.0000 0.0000 0.0000 1
Al1 Al 0.0000 0.0000 0.2549 1
Si1 Si 0.0000 0.0000 0.5000 1
```

Computed properties:
The crystal system is trigonal. The value obtained for the uncorrected formation energy is 0.0323 eV/atom.



Entry from the Alexandria database: an optimized crystal structure of Mn2AlSi (GGA-PBEsol).

Geometry as CIF:
```
data_Mn2AlSi
_chemical_formula_sum 'Mn2 Al1 Si1'
_cell_length_a 2.681
_cell_length_b 2.681
_cell_length_c 6.604
_cell_angle_alpha 90.00
_cell_angle_beta 90.00
_cell_angle_gamma 90.00
_symmetry_space_group_name_H-M 'P 4/m m m'
_symmetry_Int_Tables_number 123
_symmetry_space_group_name_Hall '-P 4 2'
loop_
_atom_site_label
_atom_site_type_symbol
_atom_site_fract_x
_atom_site_fract_y
_atom_site_fract_z
_atom_site_occupancy
Mn1 Mn 0.000 0.000 0.229 1
Al1 Al 0.500 0.500 0.500 1
Si1 Si 0.500 0.500 0.000 1
```

Computed properties:
The crystal system is tetragonal. The value obtained for the uncorrected formation energy is -0.2764 eV/atom.



Entry from the Alexandria database: an optimized crystal structure of Mn2AlSi (GGA-PBEsol).

Geometry as CIF:
```
data_Mn2AlSi
_chemical_formula_sum 'Mn2 Al1 Si1'
_cell_length_a 2.870
_cell_length_b 2.870
_cell_length_c 5.595
_cell_angle_alpha 90.00
_cell_angle_beta 90.00
_cell_angle_gamma 90.00
_symmetry_space_group_name_H-M 'P 4/m m m'
_symmetry_Int_Tables_number 123
_symmetry_space_group_name_Hall '-P 4 2'
loop_
_atom_site_label
_atom_site_type_symbol
_atom_site_fract_x
_atom_site_fract_y
_atom_site_fract_z
_atom_site_occupancy
Mn1 Mn 0.000 0.000 0.228 1
Al1 Al 0.500 0.500 0.500 1
Si1 Si 0.500 0.500 0.000 1
```

Computed properties:
The crystal system is tetragonal. The value obtained for the uncorrected formation energy is -0.3180 eV/atom.



Entry from the Alexandria database: an optimized crystal structure of Mn2AlSi (GGA-PBEsol).

Geometry as CIF:
```
data_Mn2AlSi
_chemical_formula_sum 'Mn4 Al2 Si2'
_cell_length_a 5.296
_cell_length_b 6.728
_cell_length_c 2.657
_cell_angle_alpha 90.00
_cell_angle_beta 90.00
_cell_angle_gamma 90.00
_symmetry_space_group_name_H-M 'C m m m'
_symmetry_Int_Tables_number 65
_symmetry_space_group_name_Hall '-C 2 2'
loop_
_atom_site_label
_atom_site_type_symbol
_atom_site_fract_x
_atom_site_fract_y
_atom_site_fract_z
_atom_site_occupancy
Mn1 Mn 0.250 0.250 0.000 1
Al1 Al 0.000 0.000 0.500 1
Si1 Si 0.000 0.500 0.500 1
```

Computed properties:
The crystal system is orthorhombic. The value obtained for the uncorrected formation energy is -0.2617 eV/atom.



Entry from the Alexandria database: an optimized crystal structure of Mn2AlSi (GGA-PBEsol).

Geometry as CIF:
```
data_Mn2AlSi
_chemical_formula_sum 'Mn6 Al3 Si3'
_cell_length_a 2.6356
_cell_length_b 2.6356
_cell_length_c 23.8730
_cell_angle_alpha 90.00
_cell_angle_beta 90.00
_cell_angle_gamma 120.00
_symmetry_space_group_name_H-M 'R -3 m'
_symmetry_Int_Tables_number 166
_symmetry_space_group_name_Hall '-R 3 2"'
loop_
_atom_site_label
_atom_site_type_symbol
_atom_site_fract_x
_atom_site_fract_y
_atom_site_fract_z
_atom_site_occupancy
Mn1 Mn 0.0000 0.0000 0.2464 1
Al1 Al 0.0000 0.0000 0.0000 1
Si1 Si 0.0000 0.0000 0.5000 1
```

Computed properties:
The crystal system is trigonal. The value obtained for the uncorrected formation energy is -0.1320 eV/atom.



Entry from the Alexandria database: an optimized crystal structure of SrMn2Al (GGA-PBEsol).

Geometry as CIF:
```
data_SrMn2Al
_chemical_formula_sum 'Sr1 Mn2 Al1'
_cell_length_a 3.160
_cell_length_b 3.160
_cell_length_c 7.631
_cell_angle_alpha 90.00
_cell_angle_beta 90.00
_cell_angle_gamma 90.00
_symmetry_space_group_name_H-M 'P 4/m m m'
_symmetry_Int_Tables_number 123
_symmetry_space_group_name_Hall '-P 4 2'
loop_
_atom_site_label
_atom_site_type_symbol
_atom_site_fract_x
_atom_site_fract_y
_atom_site_fract_z
_atom_site_occupancy
Sr1 Sr 0.000 0.000 0.000 1
Mn1 Mn 0.500 0.500 0.320 1
Al1 Al 0.000 0.000 0.500 1
```

Computed properties:
The value obtained for the formation energy is 482 meV/atom. The crystal system is tetragonal.



Entry from the Alexandria database: an optimized crystal structure of Sr3MnAl (GGA-PBEsol).

Geometry as CIF:
```
data_Sr3MnAl
_chemical_formula_sum 'Sr3 Mn1 Al1'
_cell_length_a 5.689
_cell_length_b 5.689
_cell_length_c 5.689
_cell_angle_alpha 90.00
_cell_angle_beta 90.00
_cell_angle_gamma 90.00
_symmetry_space_group_name_H-M 'P m -3 m'
_symmetry_Int_Tables_number 221
_symmetry_space_group_name_Hall '-P 4 2 3'
loop_
_atom_site_label
_atom_site_type_symbol
_atom_site_fract_x
_atom_site_fract_y
_atom_site_fract_z
_atom_site_occupancy
Sr1 Sr 0.000 0.000 0.500 1
Mn1 Mn 0.000 0.000 0.000 1
Al1 Al 0.500 0.500 0.500 1
```

Computed properties:
The value obtained for the formation energy is 658 meV/atom. The crystal system is cubic.



Ρ per entry: 4708 5678 4392 5783 4367 4156 5770 5944 5786 5722 4892 3110 kg/m³
Fermi-level density of states per entry: 3.8 6.5 2.3 4.4 4.4 7.2 2.8 4.1 4.7 9.3 3.7 4.8 states/eV/cell